Entry a
This record from the Alexandria database describes a relaxed CrGeAs2Br crystal. The functional is PBE.

Results
magnetic moment: 0.77 μB/f.u.

a b c (Å): 4.9402 4.9402 5.0642
angles (deg): 90.00 90.00 90.00
Space group P4/mmm (No. 123)
One atom of each set of equivalent atoms:
Cr  0.0000  0.0000  0.0000 (multiplicity 1)
Ge  0.5000  0.5000  0.5000 (multiplicity 1)
As  0.0000  0.5000  0.5000 (multiplicity 2)
Br  0.5000  0.5000  0.0000 (multiplicity 1)

=====

Entry b
This record from the Alexandria database describes a relaxed CrGeAs2Br crystal. The functional is PBE.

Results
magnetic moment: 1.95 μB/f.u.

a b c (Å): 4.6659 4.6659 5.3294
angles (deg): 90.00 90.00 90.00
Space group P4/mmm (No. 123)
One atom of each set of equivalent atoms:
Cr  0.0000  0.0000  0.0000 (multiplicity 1)
Ge  0.5000  0.5000  0.5000 (multiplicity 1)
As  0.0000  0.5000  0.0000 (multiplicity 2)
Br  0.0000  0.0000  0.5000 (multiplicity 1)

=====

entry b comes first in stability; the runner-up is 841 meV per atom higher.

=====

Entry a
This record from the Alexandria database describes a relaxed CrAsHBr2 crystal. The functional is PBE.

Results
magnetic moment: 2.82 μB/f.u.

a b c (Å): 5.1341 5.1341 4.8160
angles (deg): 90.00 90.00 90.00
Space group P4/mmm (No. 123)
One atom of each set of equivalent atoms:
Cr  0.0000  0.0000  0.0000 (multiplicity 1)
As  0.0000  0.0000  0.5000 (multiplicity 1)
H  0.5000  0.5000  0.5000 (multiplicity 1)
Br  0.0000  0.5000  0.0000 (multiplicity 2)

=====

Entry b
This record from the Alexandria database describes a relaxed CrAsHBr2 crystal. The functional is PBE.

Results
magnetic moment: 0.09 μB/f.u.

a b c (Å): 5.0136 5.0136 3.4902
angles (deg): 90.00 90.00 90.00
Space group P4/mmm (No. 123)
One atom of each set of equivalent atoms:
Cr  0.0000  0.0000  0.0000 (multiplicity 1)
As  0.5000  0.5000  0.0000 (multiplicity 1)
H  0.5000  0.5000  0.5000 (multiplicity 1)
Br  0.0000  0.5000  0.5000 (multiplicity 2)

=====

entry a comes first in stability; the runner-up is 516 meV per atom higher.

=====

Entry a
This record from the Alexandria database describes a relaxed HfCrAsBr2 crystal. The functional is PBE.

Results
magnetic moment: 4.77 μB/f.u.

a b c (Å): 4.8264 4.8264 5.2013
angles (deg): 90.00 90.00 90.00
Space group P4/mmm (No. 123)
One atom of each set of equivalent atoms:
Hf  0.0000  0.0000  0.0000 (multiplicity 1)
Cr  0.5000  0.5000  0.5000 (multiplicity 1)
As  0.5000  0.5000  0.0000 (multiplicity 1)
Br  0.0000  0.5000  0.5000 (multiplicity 2)

=====

Entry b
This record from the Alexandria database describes a relaxed HfCrAsBr2 crystal. The functional is PBE.

Results
magnetic moment: 4.82 μB/f.u.

a b c (Å): 5.2120 5.2120 5.2976
angles (deg): 90.00 90.00 90.00
Space group P4/mmm (No. 123)
One atom of each set of equivalent atoms:
Hf  0.0000  0.0000  0.0000 (multiplicity 1)
Cr  0.5000  0.5000  0.5000 (multiplicity 1)
As  0.0000  0.0000  0.5000 (multiplicity 1)
Br  0.0000  0.5000  0.0000 (multiplicity 2)

=====

entry b comes first in stability; the runner-up is 353 meV per atom higher.

=====

Entry a
This record from the Alexandria database describes a relaxed HfCrAs2Br crystal. The functional is PBE.

Results
magnetic moment: 3.28 μB/f.u.

a b c (Å): 4.7790 4.7790 4.7992
angles (deg): 90.00 90.00 90.00
Space group P4/mmm (No. 123)
One atom of each set of equivalent atoms:
Hf  0.0000  0.0000  0.0000 (multiplicity 1)
Cr  0.5000  0.5000  0.5000 (multiplicity 1)
As  0.0000  0.5000  0.5000 (multiplicity 2)
Br  0.5000  0.5000  0.0000 (multiplicity 1)

=====

Entry b
This record from the Alexandria database describes a relaxed HfCrAs2Br crystal. The functional is PBE.

Results
magnetic moment: 0.37 μB/f.u.

a b c (Å): 5.1795 5.1795 5.1170
angles (deg): 90.00 90.00 90.00
Space group P4/mmm (No. 123)
One atom of each set of equivalent atoms:
Hf  0.0000  0.0000  0.0000 (multiplicity 1)
Cr  0.5000  0.5000  0.5000 (multiplicity 1)
As  0.0000  0.5000  0.0000 (multiplicity 2)
Br  0.0000  0.0000  0.5000 (multiplicity 1)

=====

entry a comes first in stability; the runner-up is 384 meV per atom higher.